## KTcNi2 (PBE)

Data for KTcNi2 after structural relaxation.

Computed properties:
**Total moment**: 0.937 μB per atom
**SG**: F-43m (216)
**ΔE_f**: 1383 meV per atom
**V**: 64.65 Å³/cell
**DFT total energy**: -4.37 eV per atom

a b c (Å): 4.5051 4.5051 4.5051
angles (deg): 60.00 60.00 60.00
Fractional positions:
K  0.5000  0.5000  0.5000
Ni  0.0000  0.0000  0.0000
Ni  0.2500  0.2500  0.2500
Tc  0.7500  0.7500  0.7500

## KTcNi2 (PBE)

Data for KTcNi2 after structural relaxation.

Computed properties:
**Total moment**: 0.000 μB per atom
**SG**: P4/mmm (123)
**ΔE_f**: 518 meV per atom
**V**: 67.21 Å³/cell
**DFT total energy**: -5.24 eV per atom

a b c (Å): 2.8340 2.8340 8.3690
angles (deg): 90.00 90.00 90.00
Fractional positions:
K  0.5000  0.5000  0.7500
Ni  0.0000  0.0000  0.4353
Ni  0.0000  0.0000  0.0647
Tc  0.5000  0.5000  0.2500

## K2TcNi (PBE)

Data for K2TcNi after structural relaxation.

Computed properties:
**Total moment**: 0.312 μB per atom
**SG**: P2/m (10)
**ΔE_f**: 1288 meV per atom
**V**: 81.40 Å³/cell
**DFT total energy**: -3.30 eV per atom

a b c (Å): 5.6528 2.7645 5.2292
angles (deg): 84.97 90.00 90.00
Fractional positions:
K  0.0000  0.0366  0.0062
K  0.0000  0.4634  0.4938
Ni  0.5000  0.2500  0.2500
Tc  0.5000  0.7500  0.7500

## K2TcNi (PBE)

Data for K2TcNi after structural relaxation.

Computed properties:
**Total moment**: 1.059 μB per atom
**SG**: F-43m (216)
**ΔE_f**: 1392 meV per atom
**V**: 100.57 Å³/cell
**DFT total energy**: -3.19 eV per atom

a b c (Å): 5.2200 5.2200 5.2200
angles (deg): 60.00 60.00 60.00
Fractional positions:
K  0.2500  0.2500  0.2500
K  0.0000  0.0000  0.0000
Tc  0.7500  0.7500  0.7500
Ni  0.5000  0.5000  0.5000

## KTcNi2 (PBE)

Data for KTcNi2 after structural relaxation.

Computed properties:
**Total moment**: 0.000 μB per atom
**SG**: Cm (8)
**ΔE_f**: 689 meV per atom
**V**: 76.54 Å³/cell
**DFT total energy**: -5.07 eV per atom

a b c (Å): 4.4546 4.4546 6.7872
angles (deg): 84.82 84.82 34.81
Fractional positions:
Ni  0.7425  0.7425  0.7368
Ni  0.0255  0.0255  0.9075
Tc  0.4755  0.4755  0.6243
K  0.2565  0.2565  0.2315

## KTcNi2 (PBE)

Data for KTcNi2 after structural relaxation.

Computed properties:
**Total moment**: 0.593 μB per atom
**SG**: I-42d (122)
**ΔE_f**: 1166 meV per atom
**V**: 173.86 Å³/cell
**DFT total energy**: -4.59 eV per atom

a b c (Å): 7.2398 7.2398 6.1000
angles (deg): 53.60 53.60 90.00
Fractional positions:
K  0.2500  0.7500  0.5000
K  0.5000  0.5000  0.0000
Tc  0.7500  0.2500  0.5000
Tc  0.0000  0.0000  0.0000
Ni  0.0369  0.6250  0.2500
Ni  0.7131  0.1250  0.2500
Ni  0.8750  0.9631  0.7500
Ni  0.3750  0.2869  0.7500

## KTcNi2 (PBE)

Data for KTcNi2 after structural relaxation.

Computed properties:
**Total moment**: 0.001 μB per atom
**SG**: R-3m (166)
**ΔE_f**: 720 meV per atom
**V**: 63.18 Å³/cell
**DFT total energy**: -5.04 eV per atom

a b c (Å): 9.7344 9.7344 9.7344
angles (deg): 16.28 16.28 16.28
Fractional positions:
K  0.7500  0.7500  0.7500
Ni  0.9867  0.9867  0.9867
Ni  0.5133  0.5133  0.5133
Tc  0.2500  0.2500  0.2500

## K2TcNi (PBE)

Data for K2TcNi after structural relaxation.

Computed properties:
**Total moment**: 0.833 μB per atom
**SG**: I-42d (122)
**ΔE_f**: 1119 meV per atom
**V**: 347.59 Å³/cell
**DFT total energy**: -3.47 eV per atom

a b c (Å): 12.4243 12.4243 9.0693
angles (deg): 46.77 46.77 90.00
Fractional positions:
Tc  0.7500  0.2500  0.5000
Tc  0.0000  0.0000  0.0000
K  0.3119  0.6250  0.2500
K  0.4381  0.1250  0.2500
K  0.3750  0.5619  0.7500
K  0.8750  0.6881  0.7500
Ni  0.5000  0.5000  0.0000
Ni  0.2500  0.7500  0.5000

## K2TcNi (PBE)

Data for K2TcNi after structural relaxation.

Computed properties:
**Total moment**: 0.098 μB per atom
**SG**: Cmmm (65)
**ΔE_f**: 1225 meV per atom
**V**: 83.06 Å³/cell
**DFT total energy**: -3.36 eV per atom

a b c (Å): 2.7498 2.7498 11.0079
angles (deg): 90.00 90.00 93.79
Fractional positions:
K  0.0000  0.0000  0.0114
K  0.0000  0.0000  0.4886
Tc  0.5000  0.5000  0.7500
Ni  0.5000  0.5000  0.2500

## K2TcNi (PBE)

Data for K2TcNi after structural relaxation.

Computed properties:
**Total moment**: 0.332 μB per atom
**SG**: C2/m (12)
**ΔE_f**: 1295 meV per atom
**V**: 81.73 Å³/cell
**DFT total energy**: -3.29 eV per atom

a b c (Å): 6.3502 5.2259 2.7666
angles (deg): 85.49 79.31 113.23
Fractional positions:
Tc  0.5000  0.0000  0.5000
K  0.0000  0.5000  0.5000
K  0.0000  0.0000  0.0000
Ni  0.5000  0.5000  0.0000

## KTc2Ni (PBE)

Data for KTc2Ni after structural relaxation.

Computed properties:
**Total moment**: 0.362 μB per atom
**SG**: P4/mmm (123)
**ΔE_f**: 1643 meV per atom
**V**: 65.67 Å³/cell
**DFT total energy**: -5.26 eV per atom

a b c (Å): 5.0352 5.0352 2.5902
angles (deg): 90.00 90.00 90.00
Fractional positions:
Tc  0.5000  0.5000  0.0000
Tc  0.0000  0.0000  0.0000
K  0.5000  0.0000  0.5000
Ni  0.0000  0.5000  0.5000

## KTc2Ni (PBE)

Data for KTc2Ni after structural relaxation.

Computed properties:
**Total moment**: 0.184 μB per atom
**SG**: P4mm (99)
**ΔE_f**: 649 meV per atom
**V**: 77.48 Å³/cell
**DFT total energy**: -6.25 eV per atom

a b c (Å): 3.0431 3.0431 8.3666
angles (deg): 90.00 90.00 90.00
Fractional positions:
Tc  0.5000  0.5000  0.1585
Tc  0.0000  0.0000  0.9984
K  0.0000  0.0000  0.5209
Ni  0.5000  0.5000  0.8222

Number 11 is which compound? KTc2Ni